NaHoFeS3, optimized geometry, DFT PBE-GGA; E above lowest polymorph = 27 meV per atom; symmetry = No. 63
1.0
-6.713 0.032 0.401
-5.814 -0.319 -3.366
0.009 -10.348 0.965
S Fe Na Ho
6 2 2 2
direct
0.633 0.633 0.925 S
0.367 0.367 0.075 S
0.633 0.633 0.575 S
0.077 0.077 0.250 S
0.923 0.923 0.750 S
0.367 0.367 0.425 S
0.474 0.474 0.250 Fe
0.526 0.526 0.750 Fe
0.246 0.246 0.750 Na
0.754 0.754 0.250 Na
0.000 0.000 0.000 Ho
0.000 0.000 0.500 Ho